# 1
Density functional theory data (PBE) for Zr4Pa3TiN8 after structural relaxation.

Properties
Symmetry: R-3m (166)
VASP energy (eV per atom): -10.203
Size of the total moment (μB/cell): 0.00
Density of states at the Fermi level (states/eV/f.u.): 10.6

a b c (Å): 6.6453 6.6963 6.6460
angles (deg): 119.75 120.00 90.00
Closest atoms and distances in Å follow each position.
Positions (direct):
N (0.2453, 0.7527, 0.4905)  1 Ti 2.32, 3 Zr 2.32-2.40, 2 Pa 2.39
Ti (0.0000, 0.5000, 0.0000)  6 N 2.31-2.32
N (0.7547, 0.2473, 0.5095)  1 Ti 2.32, 3 Zr 2.32-2.40, 2 Pa 2.39
N (0.7562, 0.7685, 0.5124)  3 Zr 2.30, 3 Pa 2.42
N (0.2438, 0.2315, 0.4876)  3 Zr 2.30, 3 Pa 2.42
Pa (0.5000, 0.5000, 0.5000)  6 N 2.39-2.42
N (0.2378, 0.2473, 0.9925)  1 Ti 2.31, 3 Zr 2.32-2.40, 2 Pa 2.39
Zr (0.5000, 0.0000, 0.0000)  6 N 2.40
N (0.2452, 0.7527, 0.0075)  1 Ti 2.31, 3 Zr 2.32-2.40, 2 Pa 2.39
Pa (0.0000, 0.5000, 0.5000)  6 N 2.39-2.42
N (0.7548, 0.2473, 0.9925)  1 Ti 2.31, 3 Zr 2.32-2.40, 2 Pa 2.39
N (0.7622, 0.7527, 0.0075)  1 Ti 2.31, 3 Zr 2.32-2.40, 2 Pa 2.39
Pa (0.5000, 0.5000, 0.0000)  6 N 2.39-2.42
Zr (0.5000, 0.0000, 0.5000)  6 N 2.30-2.32
Zr (0.0000, 0.0000, 0.0000)  6 N 2.30-2.32
Zr (0.0000, 0.0000, 0.5000)  6 N 2.30-2.32

---

# 2
Density functional theory data (PBE) for AcPm3Tm3 after structural relaxation.

Properties
Symmetry: R-3 (148)
Energy relative to the elements (eV/atom): 0.190
Size of the total moment (μB/cell): 0.00
Density of states at the Fermi level (states/eV/f.u.): 11.2

a b c (Å): 9.0139 9.0139 9.0139
angles (deg): 58.14 58.14 58.14
Closest atoms and distances in Å follow each position.
Positions (direct):
Tm (0.1665, 0.9368, 0.7194)  4 Tm 3.29-3.39, 4 Pm 3.35-3.67, 1 Ac 3.62
Tm (0.2806, 0.8335, 0.0632)  4 Tm 3.29-3.39, 4 Pm 3.35-3.67, 1 Ac 3.62
Pm (0.7252, 0.5694, 0.0698)  4 Tm 3.35-3.67, 2 Pm 3.62
Pm (0.4306, 0.9302, 0.2748)  4 Tm 3.35-3.67, 2 Pm 3.62
Pm (0.9302, 0.2748, 0.4306)  4 Tm 3.35-3.67, 2 Pm 3.62
Tm (0.8335, 0.0632, 0.2806)  4 Tm 3.29-3.39, 4 Pm 3.35-3.67, 1 Ac 3.62
Tm (0.9368, 0.7194, 0.1665)  4 Tm 3.29-3.39, 4 Pm 3.35-3.67, 1 Ac 3.62
Ac (0.6529, 0.6529, 0.6529)  6 Tm 3.62-3.88, 6 Pm 3.77-3.85
Pm (0.5694, 0.0698, 0.7252)  4 Tm 3.35-3.67, 2 Pm 3.62
Tm (0.0632, 0.2806, 0.8335)  4 Tm 3.29-3.39, 4 Pm 3.35-3.67, 1 Ac 3.62
Pm (0.0698, 0.7252, 0.5694)  4 Tm 3.35-3.67, 2 Pm 3.62
Pm (0.2748, 0.4306, 0.9302)  4 Tm 3.35-3.67, 2 Pm 3.62
Tm (0.7194, 0.1665, 0.9368)  4 Tm 3.29-3.39, 4 Pm 3.35-3.67, 1 Ac 3.62
Ac (0.3471, 0.3471, 0.3471)  6 Tm 3.62-3.88, 6 Pm 3.77-3.85

---

# 3
Density functional theory data (PBE) for Tl14Ag2Se9 after structural relaxation.

Properties
Symmetry: P-3 (147)
VASP energy (eV per atom): -3.092
Size of the total moment (μB/cell): 0.00
Density of states at the Fermi level (states/eV/f.u.): 8.6

a b c (Å): 8.7885 8.7885 12.5138
angles (deg): 90.00 90.00 120.00
Closest atoms and distances in Å follow each position.
Positions (direct):
Tl (0.3660, 0.0215, 0.1090)  4 Se 3.07-3.41
Se (0.1031, 0.3397, 0.3516)  1 Ag 2.77, 2 Tl 2.96-3.01
Se (0.7634, 0.1031, 0.6484)  1 Ag 2.77, 2 Tl 2.96-3.01
Se (0.6667, 0.3333, 0.9485)  1 Ag 2.70
Tl (0.6340, 0.9785, 0.8910)  4 Se 3.07-3.41
Tl (0.0215, 0.6555, 0.8910)  4 Se 3.07-3.41
Tl (0.8886, 0.5810, 0.4062)  3 Se 3.01-3.21
Tl (0.5810, 0.6924, 0.5938)  3 Se 3.01-3.21
Se (0.0000, 0.0000, 0.0000)  8 Tl 3.08-3.41
Ag (0.6667, 0.3333, 0.7326)  4 Se 2.70-2.77
Tl (0.0000, 0.0000, 0.7539)  4 Se 2.96-3.08
Se (0.3333, 0.6667, 0.0515)  1 Ag 2.70
Se (0.8969, 0.6603, 0.6484)  1 Ag 2.77, 2 Tl 2.96-3.01
Tl (0.4190, 0.3076, 0.4062)  3 Se 3.01-3.21
Ag (0.3333, 0.6667, 0.2674)  4 Se 2.70-2.77
Tl (0.3445, 0.3660, 0.8910)  4 Se 3.07-3.41
Tl (0.3076, 0.8886, 0.5938)  3 Se 3.01-3.21
Tl (0.9785, 0.3445, 0.1090)  4 Se 3.07-3.41
Tl (0.0000, 0.0000, 0.2461)  4 Se 2.96-3.08
Se (0.2366, 0.8969, 0.3516)  1 Ag 2.77, 2 Tl 2.96-3.01
Se (0.3397, 0.2366, 0.6484)  1 Ag 2.77, 2 Tl 2.96-3.01
Tl (0.6924, 0.1114, 0.4062)  3 Se 3.01-3.21
Tl (0.1114, 0.4190, 0.5938)  3 Se 3.01-3.21
Tl (0.6555, 0.6340, 0.1090)  4 Se 3.07-3.41
Se (0.6603, 0.7634, 0.3516)  1 Ag 2.77, 2 Tl 2.96-3.01

---

# 4
Density functional theory data (PBE) for Tc2RuPt after structural relaxation.

Properties
Symmetry: P4mm (99)
Energy relative to the elements (eV/atom): 0.227
Relative energy among the computed polymorphs (eV per atom): 0.380
Size of the total moment (μB/cell): 0.76
Density of states at the Fermi level (states/eV/f.u.): 5.3

a b c (Å): 3.2775 3.2775 5.5712
angles (deg): 90.00 90.00 90.00
Closest atoms and distances in Å follow each position.
Positions (direct):
Pt (0.0000, 0.0000, 0.5018)  4 Ru 2.72, 6 Tc 2.74-2.80
Ru (0.5000, 0.5000, 0.7581)  6 Tc 2.68-2.88, 4 Pt 2.72
Tc (0.0000, 0.0000, 0.9993)  4 Ru 2.68, 4 Tc 2.68, 2 Pt 2.77-2.80
Tc (0.5000, 0.5000, 0.2407)  4 Tc 2.68, 2 Ru 2.69-2.88, 4 Pt 2.74

---

# 5
Density functional theory data (PBE) for FeCo2Os after structural relaxation.

Properties
Symmetry: Pmmm (47)
Energy relative to the elements (eV/atom): 0.103
Relative energy among the computed polymorphs (eV per atom): 0.009
Size of the total moment (μB/cell): 3.76
Density of states at the Fermi level (states/eV/f.u.): 4.6

a b c (Å): 2.5941 3.5655 5.1035
angles (deg): 90.00 90.00 90.00
Closest atoms and distances in Å follow each position.
Positions (direct):
Os (0.5000, 0.5000, 0.7500)  8 Co 2.55, 2 Fe 2.55, 2 Os 2.59
Co (0.0000, 0.0000, 0.4990)  4 Co 2.54-2.59, 4 Fe 2.54, 4 Os 2.55
Co (0.0000, 0.0000, 0.0010)  4 Co 2.54-2.59, 4 Fe 2.54, 4 Os 2.55
Fe (0.5000, 0.5000, 0.2500)  8 Co 2.54, 2 Os 2.55, 2 Fe 2.59

---

# 6
Density functional theory data (PBE) for Ca2Sn2Br after structural relaxation.

Properties
Symmetry: P4/mbm (127)
Relative energy among the computed polymorphs (eV per atom): 0.000
Size of the total moment (μB/cell): 0.00
Density of states at the Fermi level (states/eV/f.u.): 0.8

a b c (Å): 8.3574 8.3574 4.5673
angles (deg): 90.00 90.00 90.00
Closest atoms and distances in Å follow each position.
Positions (direct):
Br (0.5000, 0.5000, 0.0000)  4 Ca 3.06
Br (0.0000, 0.0000, 0.0000)  4 Ca 3.06
Ca (0.3187, 0.8187, 0.0000)  2 Br 3.06, 6 Sn 3.32-3.41
Sn (0.3855, 0.1145, 0.5000)  1 Sn 2.71
Sn (0.1145, 0.6145, 0.5000)  1 Sn 2.71
Ca (0.6813, 0.1813, 0.0000)  2 Br 3.06, 6 Sn 3.32-3.41
Sn (0.8855, 0.3855, 0.5000)  1 Sn 2.71
Ca (0.8187, 0.6813, 0.0000)  2 Br 3.06, 6 Sn 3.32-3.41
Ca (0.1813, 0.3187, 0.0000)  2 Br 3.06, 6 Sn 3.32-3.41
Sn (0.6145, 0.8855, 0.5000)  1 Sn 2.71

---

# 7
Density functional theory data (PBE) for AlInCoNi after structural relaxation.

Properties
Symmetry: F-43m (216)
Energy relative to the elements (eV/atom): -0.204
Size of the total moment (μB/cell): 0.28
Density of states at the Fermi level (states/eV/f.u.): 2.9

a b c (Å): 4.2701 4.2701 4.2701
angles (deg): 60.00 60.00 60.00
Closest atoms and distances in Å follow each position.
Positions (direct):
Al (0.0000, 0.0000, 0.0000)  4 Co 2.61, 4 Ni 2.61
Ni (0.2500, 0.2500, 0.2500)  4 In 2.61, 4 Al 2.61
In (0.5000, 0.5000, 0.5000)  4 Co 2.61, 4 Ni 2.61
Co (0.7500, 0.7500, 0.7500)  4 In 2.61, 4 Al 2.61

---

# 8
Density functional theory data (PBE) for HfTcAs after structural relaxation.

Properties
Symmetry: I4mm (107)
Energy relative to the elements (eV/atom): -0.370
Relative energy among the computed polymorphs (eV per atom): 0.380
Size of the total moment (μB/cell): 0.00
Density of states at the Fermi level (states/eV/f.u.): 1.6

a b c (Å): 3.1678 3.1678 5.5683
angles (deg): 106.53 106.53 90.00
Closest atoms and distances in Å follow each position.
Positions (direct):
Hf (0.2896, 0.2896, 0.5791)  4 Tc 2.89, 5 As 3.01-3.08, 4 Hf 3.17
Tc (0.9685, 0.9685, 0.9371)  4 As 2.57
As (0.5919, 0.5919, 0.1838)  4 Tc 2.57

---

# 9
Density functional theory data (PBE) for Pr12Y6Pu after structural relaxation.

Properties
Symmetry: R-3 (148)
Energy relative to the elements (eV/atom): 0.036
Size of the total moment (μB/cell): 7.00
Density of states at the Fermi level (states/eV/f.u.): 34.5

a b c (Å): 9.6698 9.6698 9.6698
angles (deg): 110.90 110.90 110.90
Closest atoms and distances in Å follow each position.
Positions (direct):
Pr (0.4195, 0.6289, 0.9447)  8 Pr 3.64-3.69, 4 Y 3.64-3.70
Pr (0.8960, 0.8444, 0.2596)  8 Pr 3.60-3.71, 1 Pu 3.60, 3 Y 3.64-3.75
Y (0.4695, 0.2127, 0.3156)  4 Y 3.57-3.64, 1 Pu 3.62, 7 Pr 3.64-3.75
Pr (0.3711, 0.0553, 0.5805)  8 Pr 3.64-3.69, 4 Y 3.64-3.70
Pr (0.6289, 0.9447, 0.4195)  8 Pr 3.64-3.69, 4 Y 3.64-3.70
Y (0.7873, 0.6844, 0.5305)  4 Y 3.57-3.64, 1 Pu 3.62, 7 Pr 3.64-3.75
Pr (0.8444, 0.2596, 0.8960)  8 Pr 3.60-3.71, 1 Pu 3.60, 3 Y 3.64-3.75
Pr (0.0553, 0.5805, 0.3711)  8 Pr 3.64-3.69, 4 Y 3.64-3.70
Pu (0.0000, 0.0000, 0.0000)  6 Pr 3.60, 6 Y 3.62
Y (0.3156, 0.4695, 0.2127)  4 Y 3.57-3.64, 1 Pu 3.62, 7 Pr 3.64-3.75
Pr (0.9447, 0.4195, 0.6289)  8 Pr 3.64-3.69, 4 Y 3.64-3.70
Y (0.5305, 0.7873, 0.6844)  4 Y 3.57-3.64, 1 Pu 3.62, 7 Pr 3.64-3.75
Pr (0.1556, 0.7404, 0.1040)  8 Pr 3.60-3.71, 1 Pu 3.60, 3 Y 3.64-3.75
Pr (0.5805, 0.3711, 0.0553)  8 Pr 3.64-3.69, 4 Y 3.64-3.70
Pr (0.2596, 0.8960, 0.8444)  1 Pu 3.60, 8 Pr 3.60-3.71, 3 Y 3.64-3.75
Pr (0.1040, 0.1556, 0.7404)  8 Pr 3.60-3.71, 1 Pu 3.60, 3 Y 3.64-3.75
Y (0.2127, 0.3156, 0.4695)  4 Y 3.57-3.64, 1 Pu 3.62, 7 Pr 3.64-3.75
Y (0.6844, 0.5305, 0.7873)  4 Y 3.57-3.64, 1 Pu 3.62, 7 Pr 3.64-3.75
Pr (0.7404, 0.1040, 0.1556)  1 Pu 3.60, 8 Pr 3.60-3.71, 3 Y 3.64-3.75

---

# 10
Density functional theory data (PBE) for LaVCd after structural relaxation.

Properties
Symmetry: I4mm (107)
Energy relative to the elements (eV/atom): 0.280
Relative energy among the computed polymorphs (eV per atom): 0.125
Size of the total moment (μB/cell): 5.74
Density of states at the Fermi level (states/eV/f.u.): 3.7

a b c (Å): 3.6291 3.6291 11.3759
angles (deg): 90.00 90.00 90.00
Closest atoms and distances in Å follow each position.
Positions (direct):
La (0.5000, 0.5000, 0.5374)  4 V 3.24, 5 Cd 3.34-3.48
Cd (0.0000, 0.0000, 0.3308)  4 V 2.91
V (0.5000, 0.5000, 0.2109)  4 Cd 2.91, 4 La 3.24
La (0.0000, 0.0000, 0.0374)  4 V 3.24, 5 Cd 3.34-3.48
V (0.0000, 0.0000, 0.7109)  4 Cd 2.91, 4 La 3.24
Cd (0.5000, 0.5000, 0.8308)  4 V 2.91

---

# 11
Density functional theory data (PBE) for Ce3Al9Ag2 after structural relaxation.

Properties
Symmetry: Immm (71)
Energy relative to the elements (eV/atom): -0.342
Size of the total moment (μB/cell): 2.38
Density of states at the Fermi level (states/eV/f.u.): 19.8

a b c (Å): 4.4010 8.4308 8.4308
angles (deg): 73.49 74.87 74.87
Closest atoms and distances in Å follow each position.
Positions (direct):
Al (0.6633, 0.7065, 0.9670)  1 Ag 2.62, 4 Al 2.63-2.76
Ce (0.6911, 0.3089, 0.3089)  10 Al 3.17-3.29, 2 Ag 3.25
Ag (0.5000, 0.7124, 0.2876)  6 Al 2.62-2.78
Al (0.3367, 0.2935, 0.0330)  1 Ag 2.62, 4 Al 2.63-2.76
Al (0.1331, 0.1448, 0.5890)  4 Al 2.69-2.81, 2 Ag 2.78
Ag (0.5000, 0.2876, 0.7124)  6 Al 2.62-2.78
Al (0.0000, 0.5000, 0.5000)  4 Al 2.81, 4 Ag 3.07
Ce (0.0000, 0.0000, 0.0000)  12 Al 3.28-3.30, 4 Ag 3.64
Al (0.3367, 0.0330, 0.2935)  1 Ag 2.62, 4 Al 2.63-2.76
Al (0.1331, 0.5890, 0.1448)  4 Al 2.69-2.81, 2 Ag 2.78
Al (0.8669, 0.4110, 0.8552)  4 Al 2.69-2.81, 2 Ag 2.78
Al (0.8669, 0.8552, 0.4110)  4 Al 2.69-2.81, 2 Ag 2.78
Al (0.6633, 0.9670, 0.7065)  1 Ag 2.62, 4 Al 2.63-2.76
Ce (0.3089, 0.6911, 0.6911)  10 Al 3.17-3.29, 2 Ag 3.25

---

What did the fourth record say?
Density functional theory data (PBE) for Tc2RuPt after structural relaxation.

Properties
Symmetry: P4mm (99)
Energy relative to the elements (eV/atom): 0.227
Relative energy among the computed polymorphs (eV per atom): 0.380
Size of the total moment (μB/cell): 0.76
Density of states at the Fermi level (states/eV/f.u.): 5.3

a b c (Å): 3.2775 3.2775 5.5712
angles (deg): 90.00 90.00 90.00
Closest atoms and distances in Å follow each position.
Positions (direct):
Pt (0.0000, 0.0000, 0.5018)  4 Ru 2.72, 6 Tc 2.74-2.80
Ru (0.5000, 0.5000, 0.7581)  6 Tc 2.68-2.88, 4 Pt 2.72
Tc (0.0000, 0.0000, 0.9993)  4 Ru 2.68, 4 Tc 2.68, 2 Pt 2.77-2.80
Tc (0.5000, 0.5000, 0.2407)  4 Tc 2.68, 2 Ru 2.69-2.88, 4 Pt 2.74

---

- Which value of density of states at the Fermi level does entry 9 give?
  34.5 states/eV/f.u.